# Sm6CSe5 GGA-PBE optimized geometry
# Calculated volume (A^3/atom): 24.6
# M_tot (μB/cell): 0.0
# Uncorrected formation energy (eV per atom): -1.607
data_Sm6CSe5
_chemical_formula_sum 'Sm12 C2 Se10'
_space_group_name_H-M_alt 'C 1 2/m 1'
_space_group_IT_number 12
_cell_length_a 7.141
_cell_length_b 12.326
_cell_length_c 7.123
_cell_angle_alpha 90.00
_cell_angle_beta 109.33
_cell_angle_gamma 90.00
loop_
_space_group_symop_operation_xyz
'x,y,z'
'-x,-y,-z'
'-x,y,-z'
'x,-y,z'
'x+1/2,y+1/2,z'
'-x+1/2,-y+1/2,-z'
'-x+1/2,y+1/2,-z'
'x+1/2,-y+1/2,z'
loop_
_atom_site_label
_atom_site_type_symbol
_atom_site_fract_x
_atom_site_fract_y
_atom_site_fract_z
Sm1 Sm 0.222 0.000 0.272
Sm2 Sm 0.224 0.149 0.724
C1 C 0.000 0.000 0.500
Se1 Se 0.000 0.174 0.000
Se2 Se 0.000 0.334 0.500
Se3 Se 0.000 0.500 0.000

---

# Ce6OsRu5 GGA-PBE optimized geometry
# Calculated volume (A^3/atom): 21.7
# M_tot (μB/cell): 0.0
# Energy of formation (eV per atom): -0.130
data_Ce6OsRu5
_chemical_formula_sum 'Ce12 Os2 Ru10'
_space_group_name_H-M_alt 'C 1 2/m 1'
_space_group_IT_number 12
_cell_length_a 6.831
_cell_length_b 11.837
_cell_length_c 6.838
_cell_angle_alpha 90.00
_cell_angle_beta 109.43
_cell_angle_gamma 90.00
loop_
_space_group_symop_operation_xyz
'x,y,z'
'-x,-y,-z'
'-x,y,-z'
'x,-y,z'
'x+1/2,y+1/2,z'
'-x+1/2,-y+1/2,-z'
'-x+1/2,y+1/2,-z'
'x+1/2,-y+1/2,z'
loop_
_atom_site_label
_atom_site_type_symbol
_atom_site_fract_x
_atom_site_fract_y
_atom_site_fract_z
Ce1 Ce 0.250 0.000 0.250
Ce2 Ce 0.250 0.167 0.749
Os1 Os 0.000 0.000 0.500
Ru1 Ru 0.000 0.168 0.000
Ru2 Ru 0.000 0.333 0.500
Ru3 Ru 0.000 0.500 0.000

---

# Ru2RhCl GGA-PBE optimized geometry
# Calculated volume (A^3/atom): 14.4
# M_tot (μB/cell): 0.0
# Uncorrected formation energy (eV per atom): 0.447
data_Ru2RhCl
_chemical_formula_sum 'Ru6 Rh3 Cl3'
_space_group_name_H-M_alt 'R -3 m'
_space_group_IT_number 166
_space_group_name_Hall '-R 3 2"'
_cell_length_a 2.8205
_cell_length_b 2.8205
_cell_length_c 25.1080
_cell_angle_alpha 90.00
_cell_angle_beta 90.00
_cell_angle_gamma 120.00
loop_
_atom_site_label
_atom_site_type_symbol
_atom_site_fract_x
_atom_site_fract_y
_atom_site_fract_z
Ru1 Ru 0.0000 0.0000 0.2481
Rh1 Rh 0.0000 0.0000 0.0000
Cl1 Cl 0.0000 0.0000 0.5000

---

# Tb2Nd4Ho2Tm GGA-PBE optimized geometry
# Calculated volume (A^3/atom): 32.9
# M_tot (μB/cell): 0.0
# Energy of formation (eV per atom): 0.022
data_Tb2Nd4Ho2Tm
_chemical_formula_sum 'Tb4 Nd8 Ho4 Tm2'
_space_group_name_H-M_alt 'C 1 2/m 1'
_space_group_IT_number 12
_cell_length_a 15.291
_cell_length_b 5.092
_cell_length_c 8.031
_cell_angle_alpha 90.00
_cell_angle_beta 108.53
_cell_angle_gamma 90.00
loop_
_space_group_symop_operation_xyz
'x,y,z'
'-x,-y,-z'
'-x,y,-z'
'x,-y,z'
'x+1/2,y+1/2,z'
'-x+1/2,-y+1/2,-z'
'-x+1/2,y+1/2,-z'
'x+1/2,-y+1/2,z'
loop_
_atom_site_label
_atom_site_type_symbol
_atom_site_fract_x
_atom_site_fract_y
_atom_site_fract_z
Tb1 Tb 0.111 0.000 0.170
Nd1 Nd 0.054 0.500 0.831
Nd2 Nd 0.222 0.000 0.831
Ho1 Ho 0.167 0.500 0.500
Tm1 Tm 0.000 0.000 0.500

---

# Ta4CuP GGA-PBE optimized geometry
# Calculated volume (A^3/atom): 18.5
# M_tot (μB/cell): 0.0
# Energy of formation (eV per atom): 0.795
data_Ta4CuP
_chemical_formula_sum 'Ta16 Cu4 P4'
_space_group_name_H-M_alt 'F -4 3 m'
_space_group_IT_number 216
_space_group_name_Hall 'F -4 2 3'
_cell_length_a 7.634
_cell_length_b 7.634
_cell_length_c 7.634
_cell_angle_alpha 90.00
_cell_angle_beta 90.00
_cell_angle_gamma 90.00
loop_
_atom_site_label
_atom_site_type_symbol
_atom_site_fract_x
_atom_site_fract_y
_atom_site_fract_z
Ta1 Ta 0.124 0.124 0.124
Cu1 Cu 0.250 0.250 0.750
P1 P 0.000 0.000 0.500

---

# CsIn4HgBi2 GGA-PBE optimized geometry
# Calculated volume (A^3/atom): 34.8
# M_tot (μB/cell): 0.0
# Energy of formation (eV per atom): -0.091
data_CsIn4HgBi2
_chemical_formula_sum 'Cs1 In4 Hg1 Bi2'
_space_group_name_H-M_alt 'P 4/m m m'
_space_group_IT_number 123
_space_group_name_Hall '-P 4 2'
_cell_length_a 5.297
_cell_length_b 5.297
_cell_length_c 9.934
_cell_angle_alpha 90.00
_cell_angle_beta 90.00
_cell_angle_gamma 90.00
loop_
_atom_site_label
_atom_site_type_symbol
_atom_site_fract_x
_atom_site_fract_y
_atom_site_fract_z
Cs1 Cs 0.000 0.000 0.000
In1 In 0.000 0.500 0.342
Hg1 Hg 0.000 0.000 0.500
Bi1 Bi 0.500 0.500 0.170

---

# Pr2ZnCu3 GGA-PBE optimized geometry
# Calculated volume (A^3/atom): 20.9
# M_tot (μB/cell): 0.0
# Energy of formation (eV per atom): -0.228
data_Pr2ZnCu3
_chemical_formula_sum 'Pr16 Zn8 Cu24'
_space_group_name_H-M_alt 'F m m m'
_space_group_IT_number 69
_space_group_name_Hall '-F 2 2'
_cell_length_a 7.588
_cell_length_b 8.788
_cell_length_c 15.024
_cell_angle_alpha 90.00
_cell_angle_beta 90.00
_cell_angle_gamma 90.00
loop_
_atom_site_label
_atom_site_type_symbol
_atom_site_fract_x
_atom_site_fract_y
_atom_site_fract_z
Pr1 Pr 0.245 0.000 0.000
Pr2 Pr 0.250 0.250 0.250
Zn1 Zn 0.000 0.000 0.333
Cu1 Cu 0.000 0.000 0.165
Cu2 Cu 0.000 0.250 0.083

---

# PrSmScIn GGA-PBE optimized geometry
# Calculated volume (A^3/atom): 28.2
# M_tot (μB/cell): 1.7
# Energy of formation (eV per atom): -0.223
data_PrSmScIn
_chemical_formula_sum 'Pr2 Sm2 Sc2 In2'
_space_group_name_H-M_alt 'P 4/n m m'
_space_group_IT_number 129
_cell_length_a 4.810
_cell_length_b 4.810
_cell_length_c 9.737
_cell_angle_alpha 90.00
_cell_angle_beta 90.00
_cell_angle_gamma 90.00
loop_
_space_group_symop_operation_xyz
'x,y,z'
'-x,-y,-z'
'-y+1/2,x,z'
'y+1/2,-x,-z'
'-x+1/2,-y+1/2,z'
'x+1/2,y+1/2,-z'
'y,-x+1/2,z'
'-y,x+1/2,-z'
'x+1/2,-y,-z'
'-x+1/2,y,z'
'-y,-x,-z'
'y,x,z'
'-x,y+1/2,-z'
'x,-y+1/2,z'
'y+1/2,x+1/2,-z'
'-y+1/2,-x+1/2,z'
loop_
_atom_site_label
_atom_site_type_symbol
_atom_site_fract_x
_atom_site_fract_y
_atom_site_fract_z
Pr1 Pr 0.250 0.750 0.000
Sm1 Sm 0.250 0.250 0.260
Sc1 Sc 0.250 0.750 0.500
In1 In 0.250 0.250 0.720

---

# LuSnRuAu GGA-PBE optimized geometry
# Calculated volume (A^3/atom): 19.1
# M_tot (μB/cell): 0.0
# Energy of formation (eV per atom): -0.361
data_LuSnRuAu
_chemical_formula_sum 'Lu4 Sn4 Ru4 Au4'
_space_group_name_H-M_alt 'F -4 3 m'
_space_group_IT_number 216
_space_group_name_Hall 'F -4 2 3'
_cell_length_a 6.738
_cell_length_b 6.738
_cell_length_c 6.738
_cell_angle_alpha 90.00
_cell_angle_beta 90.00
_cell_angle_gamma 90.00
loop_
_atom_site_label
_atom_site_type_symbol
_atom_site_fract_x
_atom_site_fract_y
_atom_site_fract_z
Lu1 Lu 0.000 0.000 0.000
Sn1 Sn 0.000 0.000 0.500
Ru1 Ru 0.250 0.250 0.750
Au1 Au 0.250 0.250 0.250

---

# TbPmEuLu GGA-PBE optimized geometry
# Calculated volume (A^3/atom): 33.6
# M_tot (μB/cell): 28.5
# Energy of formation (eV per atom): 0.152
data_TbPmEuLu
_chemical_formula_sum 'Tb4 Pm4 Eu4 Lu4'
_space_group_name_H-M_alt 'F -4 3 m'
_space_group_IT_number 216
_space_group_name_Hall 'F -4 2 3'
_cell_length_a 8.135
_cell_length_b 8.135
_cell_length_c 8.135
_cell_angle_alpha 90.00
_cell_angle_beta 90.00
_cell_angle_gamma 90.00
loop_
_atom_site_label
_atom_site_type_symbol
_atom_site_fract_x
_atom_site_fract_y
_atom_site_fract_z
Tb1 Tb 0.000 0.000 0.000
Pm1 Pm 0.250 0.250 0.750
Eu1 Eu 0.250 0.250 0.250
Lu1 Lu 0.000 0.000 0.500

---

# SrIn2Ag8 GGA-PBE optimized geometry
# Calculated volume (A^3/atom): 25.1
# M_tot (μB/cell): 0.0
# Energy of formation (eV per atom): 0.127
data_SrIn2Ag8
_chemical_formula_sum 'Sr1 In2 Ag8'
_space_group_name_H-M_alt 'P 4/m m m'
_space_group_IT_number 123
_space_group_name_Hall '-P 4 2'
_cell_length_a 7.085
_cell_length_b 7.085
_cell_length_c 5.499
_cell_angle_alpha 90.00
_cell_angle_beta 90.00
_cell_angle_gamma 90.00
loop_
_atom_site_label
_atom_site_type_symbol
_atom_site_fract_x
_atom_site_fract_y
_atom_site_fract_z
Sr1 Sr 0.000 0.000 0.000
In1 In 0.000 0.500 0.500
Ag1 Ag 0.301 0.301 0.247

---

# KIrSe2 GGA-PBE optimized geometry
# Calculated volume (A^3/atom): 22.4
# M_tot (μB/cell): 0.0
# Uncorrected formation energy (eV per atom): -0.375
data_KIrSe2
_chemical_formula_sum 'K1 Ir1 Se2'
_space_group_name_H-M_alt 'P m m m'
_space_group_IT_number 47
_cell_length_a 3.102
_cell_length_b 3.823
_cell_length_c 7.552
_cell_angle_alpha 90.00
_cell_angle_beta 90.00
_cell_angle_gamma 90.00
loop_
_space_group_symop_operation_xyz
'x,y,z'
'-x,-y,-z'
'-x,-y,z'
'x,y,-z'
'x,-y,-z'
'-x,y,z'
'-x,y,-z'
'x,-y,z'
loop_
_atom_site_label
_atom_site_type_symbol
_atom_site_fract_x
_atom_site_fract_y
_atom_site_fract_z
K1 K 0.000 0.000 0.000
Ir1 Ir 0.500 0.000 0.500
Se1 Se 0.500 0.500 0.294

---

Question: Which value of M_tot does entry 9 give?
Answer: 0.0 μB/cell